ScIn2Te (PBE, optimized geometry); uncorrected formation energy = -0.227 eV per atom; electronic total energy = -3.96 eV/atom; space group = Pmmm, No. 47; magnetization = 0.0 μB per formula unit
1.0
4.0047 0.0000 0.0000
0.0000 4.3712 0.0000
0.0000 0.0000 5.9361
Sc In Te
1 2 1
Direct
0.0000 0.0000 0.0000 Sc
0.5000 0.5000 0.2429 In
0.5000 0.5000 0.7571 In
0.0000 0.0000 0.5000 Te


ScInTe (PBE, optimized geometry); uncorrected formation energy = -0.356 eV per atom; electronic total energy = -4.43 eV/atom; space group = P-6m2, No. 187; magnetization = 0.0 μB per formula unit
1.0
4.8866 0.0000 0.0000
-2.4433 4.2319 0.0000
0.0000 0.0000 4.1580
Sc In Te
1 1 1
Direct
0.0000 0.0000 0.0000 Sc
0.3333 0.6667 0.5000 In
0.6667 0.3333 0.0000 Te


ScIn2Te2 (PBE, optimized geometry); uncorrected formation energy = -0.375 eV per atom; electronic total energy = -3.99 eV/atom; ΔE to the lowest computed polymorph = 0.0 kJ/mol of atoms; space group = P4/mbm, No. 127; magnetization = 0.0 μB per formula unit
1.0
7.7451 0.0000 0.0000
0.0000 7.7451 0.0000
0.0000 0.0000 5.0705
Sc In Te
2 4 4
Direct
0.0000 0.0000 0.0000 Sc
0.5000 0.5000 0.0000 Sc
0.1484 0.3516 0.5000 In
0.3516 0.8516 0.5000 In
0.6484 0.1484 0.5000 In
0.8516 0.6484 0.5000 In
0.1720 0.6720 0.0000 Te
0.3280 0.1720 0.0000 Te
0.6720 0.8280 0.0000 Te
0.8280 0.3280 0.0000 Te